DFT (PBE) results for Rb2CeP2S6 after structural relaxation.

N(E_F): 1.14 states/eV/f.u.
formation energy (no corrections): -906 meV/atom
E_tot: -4.857 eV/atom
symmetry: C2/m

Cell: 6.7839 6.7839 8.4800 Å, 110.55 110.55 62.18°
Positions (direct):
Rb1 0.2014 0.2014 0.1607
Rb2 0.7986 0.7986 0.8393
Ce1 0.0000 0.0000 0.5000
P1 0.4302 0.4302 0.7968
P2 0.5698 0.5698 0.2032
S1 0.2298 0.7105 0.2354
S2 0.2499 0.2499 0.5880
S3 0.2895 0.7702 0.7646
S4 0.7105 0.2298 0.2354
S5 0.7501 0.7501 0.4120
S6 0.7702 0.2895 0.7646